PBE Ba2AlHgSe, optimized geometry; E_form (uncorrected) = -236.3 meV per atom; uncorrected energy = -2.5111 eV per atom; size of the total moment = 0.0 μB per formula unit; theoretical density = 4714 kg/m³
1.0
6.3981 0.0000 0.0000
0.0000 6.3981 0.0000
0.0000 0.0000 5.0013
Ba Al Hg Se
2 1 1 1
Direct
0.0000 0.5000 0.0000
0.5000 0.0000 0.0000
0.0000 0.0000 0.0000
0.5000 0.5000 0.5000
0.0000 0.0000 0.5000